[1]
# Th4Fe2Pb

A relaxed structure of Th4Fe2Pb (PBE-GGA, Alexandria).

Space group = Cc, No. 9
Total magnetization = 0.00 μB/f.u.
DFT total energy = -7.283 eV per atom
Formation energy from the elements = -0.10 eV per atom

a = 8.8750 Å, b = 8.8750 Å, c = 6.8385 Å
α = 106.59°, β = 106.59°, γ = 123.29°
Last column: nearest neighbours and their distance in Å.
Fractional positions:
Th: 0.0264 0.9736 0.5000  1 Fe 2.58
Th: 0.1603 0.7344 0.8771  2 Fe 2.59-2.76
Th: 0.4308 0.6042 0.1732  1 Fe 2.53
Th: 0.5482 0.9971 0.7340  2 Fe 2.73-2.76
Th: 0.6042 0.4308 0.6732  1 Fe 2.53
Th: 0.7344 0.1603 0.3771  2 Fe 2.59-2.76
Th: 0.9736 0.0264 0.0000  1 Fe 2.58
Th: 0.9971 0.5482 0.2340  2 Fe 2.73-2.76
Fe: 0.2954 0.9503 0.3308  3 Th 2.59-2.76
Fe: 0.6396 0.8175 0.0241  3 Th 2.53-2.76, 1 Pb 2.76
Fe: 0.8175 0.6396 0.5241  3 Th 2.53-2.76, 1 Pb 2.76
Fe: 0.9503 0.2954 0.8308  3 Th 2.59-2.76
Pb: 0.2602 0.4708 0.5731  1 Fe 2.76
Pb: 0.4708 0.2602 0.0731  1 Fe 2.76

[2]
# Hf2TaIr

A relaxed structure of Hf2TaIr (PBE-GGA, Alexandria).

Space group = I-42d, No. 122
Total magnetization = 0.00 μB/f.u.
E above lowest polymorph = 564.6 meV per atom
DFT total energy = -10.064 eV per atom
Formation energy from the elements = 0.09 eV per atom

a = 6.0622 Å, b = 6.0622 Å, c = 6.0622 Å
α = 102.63°, β = 102.63°, γ = 124.23°
Last column: nearest neighbours and their distance in Å.
Fractional positions:
Hf: 0.0906 0.6250 0.9656  2 Ir 2.60, 2 Hf 2.88
Hf: 0.3750 0.3406 0.4656  2 Ir 2.60, 2 Hf 2.88
Hf: 0.6594 0.1250 0.0344  2 Ir 2.60, 2 Hf 2.88
Hf: 0.8750 0.9094 0.5344  2 Ir 2.60, 2 Hf 2.88
Ta: 0.2500 0.7500 0.5000  2 Ir 2.84, 4 Hf 2.96
Ta: 0.5000 0.5000 0.0000  2 Ir 2.84, 4 Hf 2.96
Ir: 0.0000 0.0000 0.0000  4 Hf 2.60, 2 Ta 2.84
Ir: 0.7500 0.2500 0.5000  4 Hf 2.60, 2 Ta 2.84

[3]
# Pr4Mg2Zn

A relaxed structure of Pr4Mg2Zn (PBE-GGA, Alexandria).

Space group = R-3m, No. 166
Total magnetization = 0.00 μB/f.u.
DFT total energy = -3.331 eV per atom
Formation energy from the elements = 0.04 eV per atom

a = 9.2774 Å, b = 9.2774 Å, c = 9.2774 Å
α = 33.88°, β = 33.88°, γ = 33.88°
Last column: nearest neighbours and their distance in Å.
Fractional positions:
Pr: 0.1230 0.1230 0.1230  4 Mg 3.26-3.27, 3 Zn 3.32
Pr: 0.3744 0.3744 0.3744  1 Zn 3.29, 4 Mg 3.33-3.34
Pr: 0.6256 0.6256 0.6256  1 Zn 3.29, 4 Mg 3.33-3.34
Pr: 0.8770 0.8770 0.8770  4 Mg 3.26-3.27, 3 Zn 3.32
Mg: 0.2473 0.2473 0.2473  8 Pr 3.26-3.34
Mg: 0.7527 0.7527 0.7527  8 Pr 3.26-3.34
Zn: 0.5000 0.5000 0.5000  8 Pr 3.29-3.32

[4]
# KBa2H12Pd3

A relaxed structure of KBa2H12Pd3 (PBE-GGA, Alexandria).

Space group = R-3m, No. 166
Total magnetization = 0.00 μB/f.u.
DFT total energy = -3.630 eV per atom

a = 6.6709 Å, b = 6.6709 Å, c = 6.6709 Å
α = 61.39°, β = 61.39°, γ = 61.39°
Last column: nearest neighbours and their distance in Å.
Fractional positions:
K: 0.0000 0.0000 0.0000  6 H 2.48
Ba: 0.3904 0.3904 0.3904  6 H 2.59-2.89
Ba: 0.6096 0.6096 0.6096  6 H 2.59-2.89
H: 0.1010 0.7168 0.7168  2 Pd 1.79
H: 0.1263 0.1263 0.5544  1 Pd 1.68
H: 0.1263 0.5544 0.1263  1 Pd 1.68
H: 0.2832 0.2832 0.8990  2 Pd 1.79
H: 0.2832 0.8990 0.2832  2 Pd 1.79
H: 0.4456 0.8737 0.8737  1 Pd 1.68
H: 0.5544 0.1263 0.1263  1 Pd 1.68
H: 0.7168 0.1010 0.7168  2 Pd 1.79
H: 0.7168 0.7168 0.1010  2 Pd 1.79
H: 0.8737 0.4456 0.8737  1 Pd 1.68
H: 0.8737 0.8737 0.4456  1 Pd 1.68
H: 0.8990 0.2832 0.2832  2 Pd 1.79
Pd: 0.0000 0.0000 0.5000  6 H 1.68-1.79
Pd: 0.0000 0.5000 0.0000  6 H 1.68-1.79
Pd: 0.5000 0.0000 0.0000  6 H 1.68-1.79

[5]
# Tb8Dy3Th3

A relaxed structure of Tb8Dy3Th3 (PBE-GGA, Alexandria).

Space group = Immm, No. 71
Total magnetization = 0.00 μB/f.u.
DFT total energy = -5.065 eV per atom
Formation energy from the elements = 0.16 eV per atom

a = 9.6199 Å, b = 9.6199 Å, c = 9.6199 Å
α = 145.70°, β = 112.75°, γ = 77.71°
Last column: nearest neighbours and their distance in Å.
Fractional positions:
Tb: 0.0583 0.3972 0.6612  5 Tb 3.08-3.43
Tb: 0.0646 0.2232 0.8414  6 Tb 3.24-3.53, 2 Th 3.58
Tb: 0.2640 0.6028 0.6612  5 Tb 3.08-3.43
Tb: 0.3817 0.2232 0.1586  6 Tb 3.24-3.53, 2 Th 3.58
Tb: 0.6183 0.7768 0.8414  6 Tb 3.24-3.53, 2 Th 3.58
Tb: 0.7360 0.3972 0.3388  5 Tb 3.08-3.43
Tb: 0.9354 0.7768 0.1586  6 Tb 3.24-3.53, 2 Th 3.58
Tb: 0.9417 0.6028 0.3388  5 Tb 3.08-3.43
Dy: 0.0000 0.0000 0.0000  2 Dy 3.29, 8 Tb 3.66
Dy: 0.3084 0.0000 0.3084  1 Dy 3.29, 4 Th 3.44-3.49, 4 Tb 3.59
Dy: 0.6916 0.0000 0.6916  1 Dy 3.29, 4 Th 3.44-3.49, 4 Tb 3.59
Th: 0.3149 0.8149 0.5000  2 Dy 3.44, 8 Tb 3.58-3.68
Th: 0.5000 0.5000 0.0000  4 Dy 3.49
Th: 0.6851 0.1851 0.5000  2 Dy 3.44, 8 Tb 3.58-3.68

[6]
# BaAsAu2C

A relaxed structure of BaAsAu2C (PBE-GGA, Alexandria).

Space group = P4/mmm, No. 123
Total magnetization = 0.00 μB/f.u.
DFT total energy = -4.012 eV per atom
Formation energy from the elements = 0.46 eV per atom

a = 4.4043 Å, b = 4.4043 Å, c = 5.7064 Å
α = 90.00°, β = 90.00°, γ = 90.00°
Last column: nearest neighbours and their distance in Å.
Fractional positions:
Ba: 0.0000 0.0000 0.0000  2 C 2.85, 4 As 3.11
As: 0.5000 0.5000 0.0000  4 Ba 3.11
Au: 0.0000 0.5000 0.5000  2 C 2.20
Au: 0.5000 0.0000 0.5000  2 C 2.20
C: 0.0000 0.0000 0.5000  4 Au 2.20

[7]
# La6Ge3F

A relaxed structure of La6Ge3F (PBE-GGA, Alexandria).

Space group = Cmc2_1, No. 36
Total magnetization = 0.16 μB/f.u.
Energy relative to the elements, uncorrected = -994 meV/atom
DFT total energy = -5.523 eV per atom

a = 9.4505 Å, b = 9.4505 Å, c = 7.2057 Å
α = 90.00°, β = 90.00°, γ = 101.90°
Last column: nearest neighbours and their distance in Å.
Fractional positions:
La: 0.0392 0.9608 0.5000  1 F 2.58
La: 0.1034 0.5623 0.4742  1 F 2.51
La: 0.2226 0.7774 0.9796  1 F 2.50
La: 0.3089 0.3642 0.9738  4 Ge 3.04-3.26
La: 0.3642 0.3089 0.4738  4 Ge 3.04-3.26
La: 0.4377 0.8966 0.4742  1 F 2.51
La: 0.5623 0.1034 0.9742  1 F 2.51
La: 0.6358 0.6911 0.9738  4 Ge 3.04-3.26
La: 0.6911 0.6358 0.4738  4 Ge 3.04-3.26
La: 0.7774 0.2226 0.4796  1 F 2.50
La: 0.8966 0.4377 0.9742  1 F 2.51
La: 0.9608 0.0392 0.0000  1 F 2.58
Ge: 0.0614 0.2794 0.7006  7 La 3.04-3.31
Ge: 0.2794 0.0614 0.2006  7 La 3.04-3.31
Ge: 0.3854 0.6146 0.2577  7 La 3.04-3.25
Ge: 0.6146 0.3854 0.7577  7 La 3.04-3.25
Ge: 0.7206 0.9386 0.7006  7 La 3.04-3.31
Ge: 0.9386 0.7206 0.2006  7 La 3.04-3.31
F: 0.2018 0.7982 0.6347  4 La 2.50-2.58
F: 0.7982 0.2018 0.1347  4 La 2.50-2.58

[8]
# RbZnOsO6

A relaxed structure of RbZnOsO6 (PBE-GGA, Alexandria).

Space group = P1, No. 1
Total magnetization = 0.97 μB/f.u.
Energy relative to the elements, uncorrected = -1010 meV/atom
DFT total energy = -5.812 eV per atom

a = 5.3888 Å, b = 5.4332 Å, c = 6.0248 Å
α = 90.49°, β = 92.16°, γ = 117.18°
Last column: nearest neighbours and their distance in Å.
Fractional positions:
Rb: 0.0000 0.0000 0.0000  6 O 2.91-3.02
Zn: 0.2790 0.6583 0.5362  5 O 1.97-2.10
Os: 0.6409 0.3388 0.4908  6 O 1.77-1.96
O: 0.3887 0.4385 0.3288  1 Os 1.92, 1 Zn 2.00
O: 0.4002 0.0409 0.6524  1 Os 1.86, 1 Zn 1.98
O: 0.5645 0.5813 0.6884  1 Os 1.96, 1 Zn 1.97
O: 0.5936 0.1057 0.2663  1 Os 1.77
O: 0.9231 0.3730 0.6929  1 Os 1.85
O: 0.9473 0.6285 0.3598  1 Os 1.89, 1 Zn 1.99

Number 3 is which compound? Pr4Mg2Zn

Number 1 is which compound? Th4Fe2Pb

Number 3 is which compound? Pr4Mg2Zn